(1)
# Rb2TePdCl | Alexandria | PBE-GGA | optimized geometry
# **D(E_F)**: 1.055 states/eV per atom
# **Size of the total moment**: 0.6 μB per cell
# **ΔE_f (raw)**: -0.573 eV per atom
data_Rb2TePdCl
_chemical_formula_sum 'Rb2 Te1 Pd1 Cl1'
_space_group_name_H-M_alt 'P 1'
_space_group_IT_number 1
_space_group_name_Hall 'P 1'
_cell_length_a 6.6572
_cell_length_b 4.4917
_cell_length_c 6.6572
_cell_angle_alpha 90.00
_cell_angle_beta 90.00
_cell_angle_gamma 90.00
loop_
_atom_site_label
_atom_site_fract_x
_atom_site_fract_y
_atom_site_fract_z
_atom_site_occupancy
Te1 0.5000 0.5000 0.5000 1
Rb1 0.0000 0.0000 0.5000 1
Rb2 0.5000 0.0000 0.0000 1
Pd1 0.0000 0.0000 0.0000 1
Cl1 0.0000 0.5000 0.0000 1

---

(2)
# RbTi2PdCl | Alexandria | PBE-GGA | optimized geometry
# **D(E_F)**: 1.769 states/eV per atom
# **Size of the total moment**: 6.4 μB per cell
# **ΔE_f (raw)**: 1.847 eV per atom
data_RbTi2PdCl
_chemical_formula_sum 'Rb1 Ti2 Pd1 Cl1'
_space_group_name_H-M_alt 'P 1'
_space_group_IT_number 1
_space_group_name_Hall 'P 1'
_cell_length_a 5.7278
_cell_length_b 5.0810
_cell_length_c 5.7278
_cell_angle_alpha 90.00
_cell_angle_beta 90.00
_cell_angle_gamma 90.00
loop_
_atom_site_label
_atom_site_fract_x
_atom_site_fract_y
_atom_site_fract_z
_atom_site_occupancy
Cl1 0.5000 0.5000 0.5000 1
Rb1 0.0000 0.0000 0.0000 1
Pd1 0.0000 0.5000 0.0000 1
Ti1 0.0000 0.0000 0.5000 1
Ti2 0.5000 0.0000 0.0000 1

---

(3)
# Rb2TlPdCl | Alexandria | PBE-GGA | optimized geometry
# **D(E_F)**: 0.822 states/eV per atom
# **Size of the total moment**: 0.0 μB per cell
# **ΔE_f (raw)**: 0.117 eV per atom
data_Rb2TlPdCl
_chemical_formula_sum 'Rb2 Tl1 Pd1 Cl1'
_space_group_name_H-M_alt 'P 1'
_space_group_IT_number 1
_space_group_name_Hall 'P 1'
_cell_length_a 7.0405
_cell_length_b 5.5476
_cell_length_c 7.0405
_cell_angle_alpha 90.00
_cell_angle_beta 90.00
_cell_angle_gamma 90.00
loop_
_atom_site_label
_atom_site_fract_x
_atom_site_fract_y
_atom_site_fract_z
_atom_site_occupancy
Tl1 0.0000 0.0000 0.0000 1
Rb1 0.0000 0.0000 0.5000 1
Rb2 0.5000 0.0000 0.0000 1
Pd1 0.5000 0.5000 0.5000 1
Cl1 0.0000 0.5000 0.0000 1

---

(4)
# RbTlPdCl6 | Alexandria | PBE-GGA | optimized geometry
# **Size of the total moment**: 2.0 μB per cell
# **ΔE_f (raw)**: -0.866 eV per atom
data_RbTlPdCl6
_chemical_formula_sum 'Rb1 Tl1 Pd1 Cl6'
_space_group_name_H-M_alt 'P 1'
_space_group_IT_number 1
_space_group_name_Hall 'P 1'
_cell_length_a 6.7577
_cell_length_b 6.7578
_cell_length_c 7.3400
_cell_angle_alpha 90.00
_cell_angle_beta 90.00
_cell_angle_gamma 60.00
loop_
_atom_site_label
_atom_site_fract_x
_atom_site_fract_y
_atom_site_fract_z
_atom_site_occupancy
Rb1 0.0000 0.0000 0.0000 1
Tl1 0.3333 0.3333 0.5000 1
Pd1 0.6666 0.6667 0.5000 1
Cl1 0.9876 0.3765 0.3000 1
Cl2 0.3765 0.9876 0.7000 1
Cl3 0.6358 0.3766 0.7000 1
Cl4 0.9876 0.6358 0.7000 1
Cl5 0.3765 0.6358 0.2999 1
Cl6 0.6358 0.9876 0.2999 1

---

(5)
# Rb3TlPd2Cl9 | Alexandria | PBE-GGA | optimized geometry
# **D(E_F)**: 0.232 states/eV per atom
# **Size of the total moment**: 0.0 μB per cell
# **ΔE_f (raw)**: -1.138 eV per atom
data_Rb3TlPd2Cl9
_chemical_formula_sum 'Rb3 Tl1 Pd2 Cl9'
_space_group_name_H-M_alt 'P 1'
_space_group_IT_number 1
_space_group_name_Hall 'P 1'
_cell_length_a 7.3082
_cell_length_b 7.3082
_cell_length_c 9.0373
_cell_angle_alpha 90.00
_cell_angle_beta 90.00
_cell_angle_gamma 120.00
loop_
_atom_site_label
_atom_site_fract_x
_atom_site_fract_y
_atom_site_fract_z
_atom_site_occupancy
Rb1 0.3333 0.6667 0.6757 1
Rb2 0.0000 0.0000 0.0000 1
Rb3 0.6667 0.3333 0.3243 1
Tl1 0.0000 0.0000 0.5000 1
Pd1 0.3333 0.6667 0.1514 1
Pd2 0.6667 0.3333 0.8486 1
Cl1 0.8242 0.1758 0.6869 1
Cl2 0.8242 0.6485 0.6869 1
Cl3 0.3515 0.1758 0.6869 1
Cl4 0.6485 0.8242 0.3130 1
Cl5 0.1758 0.3515 0.3130 1
Cl6 0.1758 0.8242 0.3130 1
Cl7 0.5000 0.0000 0.0000 1
Cl8 0.0000 0.5000 0.0000 1
Cl9 0.5000 0.5000 0.0000 1

---

(6)
# Rb3Tl3PdCl8 | Alexandria | PBE-GGA | optimized geometry
# **Size of the total moment**: 2.0 μB per cell
# **ΔE_f (raw)**: -1.235 eV per atom
data_Rb3Tl3PdCl8
_chemical_formula_sum 'Rb3 Tl3 Pd1 Cl8'
_space_group_name_H-M_alt 'P 1'
_space_group_IT_number 1
_space_group_name_Hall 'P 1'
_cell_length_a 9.1884
_cell_length_b 9.1852
_cell_length_c 9.1204
_cell_angle_alpha 120.23
_cell_angle_beta 90.00
_cell_angle_gamma 120.01
loop_
_atom_site_label
_atom_site_fract_x
_atom_site_fract_y
_atom_site_fract_z
_atom_site_occupancy
Rb1 0.5000 0.0000 0.5000 1
Rb2 0.5000 0.5000 0.5000 1
Rb3 0.0000 0.5000 0.5000 1
Tl1 0.0000 0.0000 0.0000 1
Tl2 0.0000 0.5000 0.0000 1
Tl3 0.5000 0.5000 0.0000 1
Pd1 0.0000 0.0000 0.5000 1
Cl1 0.2487 0.4973 0.2462 1
Cl2 0.7513 0.5027 0.7538 1
Cl3 0.7990 0.5980 0.2952 1
Cl4 0.2010 0.4020 0.7048 1
Cl5 0.7991 0.9967 0.2957 1
Cl6 0.2009 0.0033 0.7043 1
Cl7 0.1977 0.9967 0.2957 1
Cl8 0.8023 0.0033 0.7043 1

---

(7)
# RbTl2PdCl8 | Alexandria | PBE-GGA | optimized geometry
# **D(E_F)**: 0.543 states/eV per atom
# **Size of the total moment**: 1.0 μB per cell
# **ΔE_f (raw)**: -0.724 eV per atom
data_RbTl2PdCl8
_chemical_formula_sum 'Rb1 Tl2 Pd1 Cl8'
_space_group_name_H-M_alt 'P 1'
_space_group_IT_number 1
_space_group_name_Hall 'P 1'
_cell_length_a 6.5822
_cell_length_b 6.5822
_cell_length_c 10.8470
_cell_angle_alpha 72.34
_cell_angle_beta 72.34
_cell_angle_gamma 60.00
loop_
_atom_site_label
_atom_site_fract_x
_atom_site_fract_y
_atom_site_fract_z
_atom_site_occupancy
Rb1 0.0000 0.0000 0.0000 1
Tl1 0.7536 0.7536 0.7391 1
Tl2 0.2464 0.2464 0.2609 1
Pd1 0.5000 0.5000 0.5000 1
Cl1 0.6715 0.6715 0.9856 1
Cl2 0.3285 0.3285 0.0144 1
Cl3 0.5815 0.2370 0.3301 1
Cl4 0.7630 0.4185 0.6699 1
Cl5 0.1487 0.7630 0.6699 1
Cl6 0.2370 0.8513 0.3301 1
Cl7 0.8513 0.5815 0.3301 1
Cl8 0.4185 0.1487 0.6699 1

---

(8)
# RbTmPdCl6 | Alexandria | PBE-GGA | optimized geometry
# **Size of the total moment**: 2.0 μB per cell
# **ΔE_f (raw)**: -1.574 eV per atom
data_RbTmPdCl6
_chemical_formula_sum 'Rb1 Tm1 Pd1 Cl6'
_space_group_name_H-M_alt 'P 1'
_space_group_IT_number 1
_space_group_name_Hall 'P 1'
_cell_length_a 6.6934
_cell_length_b 6.6933
_cell_length_c 7.4755
_cell_angle_alpha 90.00
_cell_angle_beta 90.00
_cell_angle_gamma 60.00
loop_
_atom_site_label
_atom_site_fract_x
_atom_site_fract_y
_atom_site_fract_z
_atom_site_occupancy
Rb1 0.0000 0.0000 0.0000 1
Tm1 0.3333 0.3333 0.5000 1
Pd1 0.6666 0.6667 0.5000 1
Cl1 0.9934 0.3722 0.3015 1
Cl2 0.3722 0.9934 0.6985 1
Cl3 0.6344 0.3722 0.6985 1
Cl4 0.9933 0.6344 0.6985 1
Cl5 0.3722 0.6344 0.3014 1
Cl6 0.6344 0.9934 0.3014 1

---

(9)
# Rb2TmPdCl6 | Alexandria | PBE-GGA | optimized geometry
# **D(E_F)**: 0.342 states/eV per atom
# **Size of the total moment**: 2.0 μB per cell
# **ΔE_f (raw)**: -1.689 eV per atom
data_Rb2TmPdCl6
_chemical_formula_sum 'Rb4 Tm2 Pd2 Cl12'
_space_group_name_H-M_alt 'P 1'
_space_group_IT_number 1
_space_group_name_Hall 'P 1'
_cell_length_a 7.5935
_cell_length_b 7.5931
_cell_length_c 10.2026
_cell_angle_alpha 90.00
_cell_angle_beta 90.00
_cell_angle_gamma 90.00
loop_
_atom_site_label
_atom_site_fract_x
_atom_site_fract_y
_atom_site_fract_z
_atom_site_occupancy
Rb1 0.5000 0.7498 0.2500 1
Rb2 0.0000 0.2502 0.7500 1
Rb3 0.5000 0.7498 0.7500 1
Rb4 0.0000 0.2502 0.2500 1
Tm1 0.5000 0.2498 0.5000 1
Tm2 0.0000 0.7502 0.0000 1
Pd1 0.0000 0.7499 0.5000 1
Pd2 0.5000 0.2501 0.0000 1
Cl1 0.5000 0.2500 0.2447 1
Cl2 0.5000 0.2500 0.7553 1
Cl3 0.0000 0.7500 0.2553 1
Cl4 0.0000 0.7500 0.7447 1
Cl5 0.2584 0.0081 0.5000 1
Cl6 0.7416 0.0081 0.5000 1
Cl7 0.2583 0.4914 0.5000 1
Cl8 0.7417 0.4914 0.5000 1
Cl9 0.7583 0.5086 0.0000 1
Cl10 0.2417 0.5086 0.0000 1
Cl11 0.2416 0.9919 0.0000 1
Cl12 0.7584 0.9919 0.0000 1

---

(10)
# RbVPdCl6 | Alexandria | PBE-GGA | optimized geometry
# **D(E_F)**: 1.180 states/eV per atom
# **Size of the total moment**: 4.0 μB per cell
# **ΔE_f (raw)**: -1.086 eV per atom
data_RbVPdCl6
_chemical_formula_sum 'Rb1 V1 Pd1 Cl6'
_space_group_name_H-M_alt 'P 1'
_space_group_IT_number 1
_space_group_name_Hall 'P 1'
_cell_length_a 6.4594
_cell_length_b 6.4596
_cell_length_c 7.3628
_cell_angle_alpha 90.00
_cell_angle_beta 90.00
_cell_angle_gamma 60.00
loop_
_atom_site_label
_atom_site_fract_x
_atom_site_fract_y
_atom_site_fract_z
_atom_site_occupancy
Rb1 0.0000 0.0000 0.0000 1
V1 0.3333 0.3333 0.5000 1
Pd1 0.6666 0.6667 0.5000 1
Cl1 0.0163 0.3615 0.3124 1
Cl2 0.3614 0.0163 0.6876 1
Cl3 0.6222 0.3615 0.6876 1
Cl4 0.0163 0.6222 0.6875 1
Cl5 0.3614 0.6222 0.3124 1
Cl6 0.6222 0.0163 0.3124 1